Compound: InPt6W
Source: Alexandria
Functional: GGA-PBE
Structure: optimized geometry

Formation enthalpy at 0 K in eV/atom: -0.32
SG: P4/mmm (123)

a = 4.002 Å, b = 4.002 Å, c = 8.068 Å
α = 90.00°, β = 90.00°, γ = 90.00°
Fractional positions:
In: 0.000 0.000 0.000
Pt: 0.500 0.500 0.000
Pt: 0.500 0.500 0.500
Pt: 0.500 0.000 0.264
Pt: 0.500 0.000 0.736
Pt: 0.000 0.500 0.264
Pt: 0.000 0.500 0.736
W: 0.000 0.000 0.500